1.
Below is La5Dy3Er2 after structural relaxation, with properties calculated at the PBE level.

* calculated formation energy: 0.159 eV per atom

Lattice parameters (Å, degrees): 10.8696 14.8700 10.1766 90.00 122.22 90.00
Last column: nearest neighbours and their distance in Å.
Space group C2/c (No. 15)
Inequivalent atoms, fractional coordinates:
1 La 0.0000 0.0171 0.2500  1 La 3.11, 2 Er 3.46
2 La 0.0000 0.2262 0.2500  3 La 3.11-3.46, 2 Dy 3.45, 2 Er 3.47
3 La 0.0000 0.4749 0.7500  1 Dy 3.06
4 La 0.2475 0.3694 0.2425  2 Dy 3.40-3.77, 3 La 3.46-3.58, 1 Er 3.77
5 Dy 0.0000 0.2689 0.7500  3 La 3.06-3.40, 2 Er 3.39
6 Dy 0.1544 0.3741 0.5587  1 Er 3.27, 5 La 3.45-3.57, 1 Dy 3.54
7 Er 0.1558 0.1298 0.0620  3 Dy 3.27-3.51, 4 La 3.46-3.58

=====

2.
Below is Dy7Co2Sb2 after structural relaxation, with properties calculated at the PBE level.

* ΔE_f (raw): -0.46 eV per atom

Lattice parameters (Å, degrees): 3.6869 15.9811 9.7510 90.00 90.00 90.00
Last column: nearest neighbours and their distance in Å.
Space group Imm2 (No. 44)
Inequivalent atoms, fractional coordinates:
1 Dy 0.0000 0.0000 0.0000  3 Sb 3.15-3.17
2 Dy 0.0000 0.1304 0.4330  2 Co 2.79
3 Dy 0.0000 0.3160 0.6280  2 Co 2.75
4 Dy 0.0000 0.3476 0.2802  2 Co 2.78
5 Co 0.0000 0.2390 0.9391  6 Dy 2.75-2.79
6 Sb 0.0000 0.0000 0.6765  7 Dy 3.15-3.22
7 Sb 0.0000 0.5000 0.7645  8 Dy 3.17-3.23

=====

3.
Below is LiTmCdCu after structural relaxation, with properties calculated at the PBE level.

* calculated formation energy: -0.173 eV per atom

Lattice parameters (Å, degrees): 6.6614 6.6614 6.6614 90.00 90.00 90.00
Last column: nearest neighbours and their distance in Å.
Space group F-43m (No. 216)
Inequivalent atoms, fractional coordinates:
1 Li 0.0000 0.0000 0.0000  4 Tm 2.88, 4 Cd 2.88
2 Tm 0.2500 0.2500 0.7500  4 Li 2.88, 4 Cu 2.88
3 Cd 0.2500 0.2500 0.2500  4 Li 2.88, 4 Cu 2.88
4 Cu 0.0000 0.0000 0.5000  4 Cd 2.88, 4 Tm 2.88

=====

4.
Below is In3Bi2Pb8 after structural relaxation, with properties calculated at the PBE level.

* polymorph energy (0 for the lowest one): 0.004 eV per atom
* calculated formation energy: 0.091 eV per atom

Lattice parameters (Å, degrees): 16.1000 8.7658 6.4142 90.00 109.34 90.00
Last column: nearest neighbours and their distance in Å.
Space group C2/m (No. 12)
Inequivalent atoms, fractional coordinates:
1 In 0.0000 0.0000 0.0000  6 Pb 3.22-3.34, 4 In 3.57
2 In 0.0000 0.1777 0.5000  1 In 3.11, 2 Pb 3.31
3 Bi 0.2104 0.0000 0.4398  5 Pb 3.16-3.29
4 Pb 0.1082 0.5000 0.6746  1 Bi 3.24, 2 In 3.31, 4 Pb 3.38-3.52
5 Pb 0.1159 0.3045 0.1598  2 In 3.22-3.49, 2 Bi 3.29-3.55, 3 Pb 3.43-3.52
6 Pb 0.1941 0.0000 0.9181  2 Bi 3.16-3.27, 1 In 3.34, 3 Pb 3.38-3.52

=====

5.
Below is Ce2NdTmBi4 after structural relaxation, with properties calculated at the PBE level.

* calculated formation energy: -0.824 eV per atom

Lattice parameters (Å, degrees): 7.8976 4.5603 7.9095 90.00 109.47 90.00
Last column: nearest neighbours and their distance in Å.
Space group P2/m (No. 10)
Inequivalent atoms, fractional coordinates:
1 Ce 0.0000 0.0000 0.0000  6 Bi 3.27
2 Ce 0.5000 0.5000 0.0000  6 Bi 3.22
3 Nd 0.0000 0.5000 0.5000  6 Bi 3.24
4 Tm 0.5000 0.0000 0.5000  6 Bi 3.18
5 Bi 0.2551 0.0000 0.7482  1 Tm 3.18, 3 Ce 3.22-3.27, 2 Nd 3.24
6 Bi 0.2577 0.5000 0.2561  2 Tm 3.18, 3 Ce 3.22-3.27, 1 Nd 3.24

=====

6.
Below is ErTc6 after structural relaxation, with properties calculated at the PBE level.

* polymorph energy (0 for the lowest one): 0.897 eV per atom
* calculated formation energy: 0.889 eV per atom

Lattice parameters (Å, degrees): 6.7567 6.7567 6.7567 90.00 90.00 90.00
Last column: nearest neighbours and their distance in Å.
Space group Im-3m (No. 229)
Inequivalent atoms, fractional coordinates:
1 Er 0.0000 0.0000 0.0000  24 Tc 3.78
2 Tc 0.0000 0.2500 0.5000  4 Tc 2.39

=====

7.
Below is Ac7Pm3Er after structural relaxation, with properties calculated at the PBE level.

* calculated formation energy: 0.275 eV per atom

Lattice parameters (Å, degrees): 12.2617 11.1676 6.9250 90.00 96.50 90.00
Last column: nearest neighbours and their distance in Å.
Space group C2/m (No. 12)
Inequivalent atoms, fractional coordinates:
1 Ac 0.0000 0.0000 0.0000  2 Er 3.46, 2 Ac 3.74, 2 Pm 3.76
2 Ac 0.2379 0.5000 0.2275  1 Er 3.54, 3 Pm 3.64-3.65, 5 Ac 3.69-3.90
3 Ac 0.2493 0.3293 0.7396  7 Ac 3.69-4.02, 3 Pm 3.72-3.86, 1 Er 4.12
4 Pm 0.0000 0.3371 0.0000  3 Pm 3.64-3.91, 7 Ac 3.64-3.86
5 Pm 0.0000 0.5000 0.5000  6 Ac 3.65-3.82, 4 Pm 3.91
6 Er 0.0000 0.0000 0.5000  4 Ac 3.46-3.54

=====

8.
Below is Zr4FeSe8 after structural relaxation, with properties calculated at the PBE level.

* ΔE_f (raw): -1.18 eV per atom

Lattice parameters (Å, degrees): 12.3748 7.5199 8.9579 90.00 133.47 90.00
Last column: nearest neighbours and their distance in Å.
Space group C2/m (No. 12)
Inequivalent atoms, fractional coordinates:
1 Zr 0.0000 0.2428 0.0000  6 Se 2.68-2.75
2 Zr 0.2489 0.0000 0.4950  6 Se 2.70-2.75
3 Fe 0.0000 0.5000 0.5000  6 Se 2.61
4 Se 0.0483 0.0000 0.8324  3 Zr 2.68-2.70
5 Se 0.0481 0.5000 0.8332  1 Fe 2.61, 3 Zr 2.73-2.75
6 Se 0.1995 0.2493 0.6677  1 Fe 2.61, 3 Zr 2.71-2.75

=====

9.
Below is PmMgMnAg after structural relaxation, with properties calculated at the PBE level.

* calculated formation energy: 0.062 eV per atom

Lattice parameters (Å, degrees): 7.0739 7.0739 7.0739 90.00 90.00 90.00
Last column: nearest neighbours and their distance in Å.
Space group F-43m (No. 216)
Inequivalent atoms, fractional coordinates:
1 Pm 0.0000 0.0000 0.0000  4 Mn 3.06, 4 Ag 3.06
2 Mg 0.0000 0.0000 0.5000  4 Ag 3.06, 4 Mn 3.06
3 Mn 0.2500 0.2500 0.2500  4 Mg 3.06, 4 Pm 3.06
4 Ag 0.2500 0.2500 0.7500  4 Pm 3.06, 4 Mg 3.06

=====

10.
Below is LaCo after structural relaxation, with properties calculated at the PBE level.

* calculated formation energy: 0.054 eV per atom

Lattice parameters (Å, degrees): 10.3592 10.3592 4.1227 90.00 90.00 90.00
Last column: nearest neighbours and their distance in Å.
Space group I4/mmm (No. 139)
Inequivalent atoms, fractional coordinates:
1 La 0.0000 0.2681 0.0000  6 Co 2.84-3.15
2 Co 0.2257 0.2257 0.5000  2 Co 2.18

=====

11.
Below is BaPtSe4 after structural relaxation, with properties calculated at the PBE level.

* ΔE_f (raw): 0.04 eV per atom

Lattice parameters (Å, degrees): 8.2975 8.2975 8.2975 90.00 90.00 90.00
Last column: nearest neighbours and their distance in Å.
Space group F-43m (No. 216)
Inequivalent atoms, fractional coordinates:
1 Ba 0.0000 0.0000 0.0000  12 Se 3.45, 4 Pt 3.59
2 Pt 0.2500 0.2500 0.7500  12 Se 3.43, 4 Ba 3.59
3 Se 0.1221 0.1221 0.3779  6 Se 2.86-3.00

=====

Number 1: magnetization 0.0 μB/cell, calculated density 7.2 g/cm3. Number 2: magnetization 0.0 μB/cell, calculated density 8.7 g/cm3. Number 3: magnetization 0.0 μB/cell, calculated density 7.9 g/cm3. Number 4: magnetization 0.0 μB/cell, calculated density 9.4 g/cm3. Number 5: magnetization 1.7 μB/cell, calculated density 8.8 g/cm3. Number 6: magnetization 0.0 μB/cell, calculated density 8.1 g/cm3. Number 7: magnetization 0.0 μB/cell, calculated density 7.7 g/cm3. Number 8: magnetization 5.8 μB/cell, calculated density 5.8 g/cm3. Number 9: magnetization 17.6 μB/cell, calculated density 6.2 g/cm3. Number 10: magnetization 3.3 μB/cell, calculated density 5.9 g/cm3. Number 11: magnetization 0.0 μB/cell, calculated density 7.5 g/cm3.